Below is an optimized crystal structure of Nd6Al2In, with properties calculated at the PBE level.

Cell and atoms, written as CIF:
```
data_Nd6Al2In
_chemical_formula_sum 'Nd12 Al4 In2'
_symmetry_space_group_name_H-M 'P 1'
_symmetry_Int_Tables_number 1
_cell_length_a 8.999
_cell_length_b 8.999
_cell_length_c 8.999
_cell_angle_alpha 105.19
_cell_angle_beta 111.94
_cell_angle_gamma 111.36
loop_
_symmetry_equiv_pos_as_xyz
'x,y,z'
loop_
_atom_site_label
_atom_site_type_symbol
_atom_site_fract_x
_atom_site_fract_y
_atom_site_fract_z
Nd1 Nd 0.539 0.724 0.815
Nd2 Nd 0.461 0.276 0.185
Nd3 Nd 0.091 0.276 0.815
Nd4 Nd 0.909 0.724 0.185
Nd5 Nd 0.797 0.756 0.554
Nd6 Nd 0.203 0.244 0.446
Nd7 Nd 0.203 0.756 0.959
Nd8 Nd 0.797 0.244 0.041
Nd9 Nd 0.713 0.392 0.679
Nd10 Nd 0.287 0.608 0.321
Nd11 Nd 0.287 0.966 0.679
Nd12 Nd 0.713 0.034 0.321
Al1 Al 0.500 0.380 0.880
Al2 Al 0.500 0.620 0.120
Al3 Al 0.637 0.000 0.637
Al4 Al 0.363 0.000 0.363
In1 In 0.000 0.500 0.500
In2 In 0.000 0.000 0.000
```

## Properties
**Energy relative to the elements**: -2.34 eV per formula unit
**Space group**: Immm, No. 71
**Raw total energy**: -4.575 eV/atom
**E above lowest polymorph**: 0.0 kJ per mole of atoms
**Size of the total moment**: 0.00 μB/cell


Below is an optimized crystal structure of Nd12AlIn3, with properties calculated at the PBE level.

Cell and atoms, written as CIF:
```
data_Nd12AlIn3
_chemical_formula_sum 'Nd12 Al1 In3'
_symmetry_space_group_name_H-M 'P 1'
_symmetry_Int_Tables_number 1
_cell_length_a 4.963
_cell_length_b 4.963
_cell_length_c 19.894
_cell_angle_alpha 90.00
_cell_angle_beta 90.00
_cell_angle_gamma 90.00
loop_
_symmetry_equiv_pos_as_xyz
'x,y,z'
loop_
_atom_site_label
_atom_site_type_symbol
_atom_site_fract_x
_atom_site_fract_y
_atom_site_fract_z
Nd1 Nd 0.500 0.500 0.000
Nd2 Nd 0.500 0.500 0.247
Nd3 Nd 0.500 0.500 0.500
Nd4 Nd 0.500 0.500 0.753
Nd5 Nd 0.500 0.000 0.121
Nd6 Nd 0.500 0.000 0.374
Nd7 Nd 0.500 0.000 0.626
Nd8 Nd 0.500 0.000 0.879
Nd9 Nd 0.000 0.500 0.121
Nd10 Nd 0.000 0.500 0.374
Nd11 Nd 0.000 0.500 0.626
Nd12 Nd 0.000 0.500 0.879
Al1 Al 0.000 0.000 0.000
In1 In 0.000 0.000 0.248
In2 In 0.000 0.000 0.500
In3 In 0.000 0.000 0.752
```

## Properties
**Energy relative to the elements**: -3.99 eV per formula unit
**Space group**: P4/mmm, No. 123
**Raw total energy**: -4.573 eV/atom
**Size of the total moment**: 0.00 μB/cell